one | Compound: Cs4Te4As
Source: Alexandria via LeMat-Bulk
Functional: GGA-PBE
Structure: optimized geometry

Lattice parameters (Å, degrees): 9.8411 9.8411 9.8411 79.96 125.96 125.96
Fractional coordinates of all 9 atoms:
1 Cs 0.5000 0.0000 0.5000
2 Cs 0.0000 0.3047 0.3047
3 Cs 0.5000 0.5000 0.0000
4 Cs 0.0000 0.6953 0.6953
5 Te 0.0000 0.0643 0.7187
6 Te 0.3456 0.2813 0.2813
7 As 0.0000 0.0000 0.0000
8 Te 0.6544 0.9357 0.9357
9 Te 0.0000 0.7187 0.0643

ρ = 3.1 g/cm³
spin magnetization = 0.266 Bohr magnetons per cell


two | Compound: Cs4Te4As
Source: Alexandria via LeMat-Bulk
Functional: GGA-PBE
Structure: optimized geometry

Lattice parameters (Å, degrees): 7.6296 8.8479 8.8479 79.29 64.46 64.46
Last column: magnetic moment on the atom in μB.
Fractional coordinates of all 9 atoms:
1 Cs 0.4233 0.7813 0.3721  0.00
2 Cs 0.2046 0.3721 0.2187  0.00
3 Te 0.0807 0.1553 0.6833  0.11
4 Te 0.2360 0.6833 0.8447  0.11
5 Cs 0.5767 0.2187 0.6279  0.00
6 Te 0.9193 0.8447 0.3167  0.11
7 As 0.0000 0.0000 0.0000  -0.01
8 Cs 0.7954 0.6279 0.7813  0.00
9 Te 0.7640 0.3167 0.1553  0.11

ρ = 3.8 g/cm³
spin magnetization = 0.910 Bohr magnetons per cell


What should be chosen as the most stable of them? Choose one.


one | Compound: Cs2TeAs
Source: Alexandria via LeMat-Bulk
Functional: GGA-PBE
Structure: optimized geometry

Lattice parameters (Å, degrees): 6.4125 6.4125 6.4125 60.00 60.00 60.00
Last column: magnetic moment on the atom in μB.
Fractional coordinates of all 4 atoms:
1 As 0.0000 0.0000 0.0000  0.98
2 Cs 0.7500 0.7500 0.7500  0.03
3 Te 0.5000 0.5000 0.5000  0.33
4 Cs 0.2500 0.2500 0.2500  0.03

ρ = 4.2 g/cm³
spin magnetization = 3.000 Bohr magnetons per cell


two | Compound: Cs2TeAs
Source: Alexandria via LeMat-Bulk
Functional: GGA-PBE
Structure: optimized geometry

Lattice parameters (Å, degrees): 12.8747 12.8747 9.5369 47.55 47.55 90.00
Fractional coordinates of all 8 atoms:
1 Te 0.0000 0.0000 0.0000
2 As 0.5000 0.5000 0.0000
3 Cs 0.3750 0.5352 0.7500
4 Cs 0.2852 0.6250 0.2500
5 As 0.2500 0.7500 0.5000
6 Cs 0.4648 0.1250 0.2500
7 Te 0.7500 0.2500 0.5000
8 Cs 0.8750 0.7148 0.7500

ρ = 3.3 g/cm³
spin magnetization = 0.001 Bohr magnetons per cell


What should be chosen as the most stable of them? Choose two.


one | Compound: Cs3TeAs
Source: Alexandria via LeMat-Bulk
Functional: GGA-PBE
Structure: optimized geometry

Lattice parameters (Å, degrees): 5.3001 9.9892 10.3770 115.19 89.43 91.38
Fractional coordinates of all 10 atoms:
1 Cs 0.7755 0.8992 0.1257
2 Cs 0.2686 0.2547 0.2957
3 As 0.3268 0.5193 0.6603
4 Te 0.2763 0.9129 0.3874
5 Cs 0.7648 0.6477 0.4122
6 Cs 0.2783 0.5064 0.0089
7 Te 0.7675 0.2411 0.0342
8 As 0.7170 0.6345 0.7611
9 Cs 0.2551 0.9364 0.7838
10 Cs 0.7898 0.2181 0.6385

ρ = 4.0 g/cm³
spin magnetization = 0.002 Bohr magnetons per cell


two | Compound: Cs3TeAs
Source: Alexandria via LeMat-Bulk
Functional: GGA-PBE
Structure: optimized geometry

Lattice parameters (Å, degrees): 6.7870 6.7870 6.7870 90.00 90.00 90.00
Last column: magnetic moment on the atom in μB.
Fractional coordinates of all 5 atoms:
1 Te 0.5000 0.5000 0.5000  0.19
2 Cs 0.0000 0.5000 0.0000  0.04
3 As 0.0000 0.0000 0.0000  0.60
4 Cs 0.5000 0.0000 0.0000  0.01
5 Cs 0.0000 0.0000 0.5000  0.06

ρ = 3.2 g/cm³
spin magnetization = 2.000 Bohr magnetons per cell


What should be chosen as the most stable of them? Choose one.